Below is a relaxed Dy4Tm2Sc5 crystal, with properties calculated at the PBE level.

Properties
Energy relative to the lowest polymorph listed for this composition: 90 meV per atom
E_form: 3.3 kcal/mol of atoms
Space group: C2/m, No. 12

Cell: 3.3495 8.3350 13.7985 Å, 124.02 96.97 90.00°
Last column: nearest neighbours and their distance in Å.
Sites, in units of the cell vectors:
1 Dy 0.5883 0.4790 0.1765  1 Tm 3.27, 5 Sc 3.30-3.43, 6 Dy 3.35-3.53
2 Dy 0.0452 0.7530 0.0905  4 Sc 3.23-3.39, 7 Dy 3.35-3.53
3 Dy 0.4117 0.5210 0.8235  1 Tm 3.27, 5 Sc 3.30-3.43, 6 Dy 3.35-3.53
4 Dy 0.9548 0.2470 0.9095  4 Sc 3.23-3.39, 7 Dy 3.35-3.53
5 Tm 0.7275 0.6306 0.4550  6 Sc 3.24-3.41, 1 Dy 3.27, 4 Tm 3.35-3.48
6 Tm 0.2725 0.3694 0.5450  6 Sc 3.24-3.41, 1 Dy 3.27, 4 Tm 3.35-3.48
7 Sc 0.1883 0.8986 0.3767  3 Tm 3.24-3.41, 4 Sc 3.26-3.35, 3 Dy 3.39-3.43
8 Sc 0.8117 0.1014 0.6233  3 Tm 3.24-3.41, 4 Sc 3.26-3.35, 3 Dy 3.39-3.43
9 Sc 0.1296 0.2216 0.2593  3 Dy 3.23-3.38, 4 Sc 3.35-3.38, 3 Tm 3.36-3.38
10 Sc 0.5000 0.0000 0.0000  6 Dy 3.30-3.38, 6 Sc 3.35-3.38
11 Sc 0.8704 0.7784 0.7407  3 Dy 3.23-3.38, 4 Sc 3.35-3.38, 3 Tm 3.36-3.38